Record 1
The following is a DFT calculation (PBE-GGA) of a relaxed structure of Sb2TeCSe.

Calculated values
raw total energy = -3.83 eV per atom
distance to the lowest polymorph of the same formula = 0 meV/atom
raw formation energy = 990 meV/atom

a = 4.967 Å, b = 4.967 Å, c = 4.576 Å
α = 90.00°, β = 90.00°, γ = 90.00°
Space group P4/mmm (No. 123)
Asymmetric unit:
Sb 0.000 0.500 0.000
Te 0.000 0.000 0.500
C 0.000 0.000 0.000
Se 0.500 0.500 0.500


Record 2
The following is a DFT calculation (PBE-GGA) of a relaxed structure of SbTe2CSe.

Calculated values
raw total energy = -3.70 eV per atom
distance to the lowest polymorph of the same formula = 0 meV/atom
raw formation energy = 920 meV/atom

a = 4.871 Å, b = 4.871 Å, c = 4.554 Å
α = 90.00°, β = 90.00°, γ = 90.00°
Space group P4/mmm (No. 123)
Asymmetric unit:
Sb 0.000 0.000 0.000
Te 0.000 0.500 0.500
C 0.500 0.500 0.500
Se 0.500 0.500 0.000


Record 3
The following is a DFT calculation (PBE-GGA) of a relaxed structure of SbTe2CSe.

Calculated values
raw total energy = -3.59 eV per atom
distance to the lowest polymorph of the same formula = 111 meV/atom
raw formation energy = 1031 meV/atom

a = 4.709 Å, b = 4.709 Å, c = 5.094 Å
α = 90.00°, β = 90.00°, γ = 90.00°
Space group P4/mmm (No. 123)
Asymmetric unit:
Sb 0.000 0.000 0.000
Te 0.000 0.500 0.500
C 0.000 0.000 0.500
Se 0.500 0.500 0.000


Record 4
The following is a DFT calculation (PBE-GGA) of a relaxed structure of SbTeC2Se.

Calculated values
raw total energy = -3.63 eV per atom
raw formation energy = 2208 meV/atom

a = 4.221 Å, b = 4.221 Å, c = 5.728 Å
α = 90.00°, β = 90.00°, γ = 90.00°
Space group P4/mmm (No. 123)
Asymmetric unit:
Sb 0.000 0.000 0.000
Te 0.500 0.500 0.000
C 0.000 0.500 0.500
Se 0.500 0.500 0.500


Record 5
The following is a DFT calculation (PBE-GGA) of a relaxed structure of Th6SbC3Se2.

Calculated values
raw total energy = -7.85 eV per atom
raw formation energy = -910 meV/atom

a = 18.162 Å, b = 3.916 Å, c = 8.426 Å
α = 90.00°, β = 108.99°, γ = 90.00°
Space group C2/m (No. 12)
Asymmetric unit:
Th 0.012 0.000 0.216
Th 0.156 0.500 0.109
Th 0.180 0.500 0.554
Sb 0.000 0.500 0.500
C 0.000 0.500 0.000
C 0.167 0.000 0.326
Se 0.168 0.000 0.833


Record 6
The following is a DFT calculation (PBE-GGA) of a relaxed structure of Tm8Sb4CSe3.

Calculated values
raw total energy = -5.68 eV per atom
raw formation energy = -1180 meV/atom

a = 8.2231 Å, b = 8.2231 Å, c = 20.3419 Å
α = 90.00°, β = 90.00°, γ = 120.00°
Space group R-3m (No. 166, hexagonal axes)
Asymmetric unit:
Tm 0.0000 0.0000 0.2464
Tm 0.0303 0.5152 0.2395
Sb 0.0000 0.0000 0.0000
Sb 0.0000 0.5000 0.0000
C 0.0000 0.0000 0.5000
Se 0.0000 0.5000 0.5000


Record 7
The following is a DFT calculation (PBE-GGA) of a relaxed structure of Si2SbC.

Calculated values
raw total energy = -4.36 eV per atom
distance to the lowest polymorph of the same formula = 1248 meV/atom
raw formation energy = 1684 meV/atom

a = 6.387 Å, b = 6.387 Å, c = 6.387 Å
α = 90.00°, β = 90.00°, γ = 90.00°
Space group Fm-3m (No. 225)
Asymmetric unit:
Si 0.250 0.250 0.250
Sb 0.000 0.000 0.000
C 0.000 0.000 0.500


Record 8
The following is a DFT calculation (PBE-GGA) of a relaxed structure of SiSbC2.

Calculated values
raw total energy = -6.24 eV per atom
distance to the lowest polymorph of the same formula = 0 meV/atom
raw formation energy = 753 meV/atom

a = 4.898 Å, b = 4.898 Å, c = 9.096 Å
α = 90.00°, β = 90.00°, γ = 90.00°
Space group I-42d (No. 122)
Asymmetric unit:
Si 0.000 0.000 0.000
Sb 0.000 0.000 0.500
C 0.181 0.250 0.125


Record 9
The following is a DFT calculation (PBE-GGA) of a relaxed structure of Si3SbC.

Calculated values
raw total energy = -4.99 eV per atom
distance to the lowest polymorph of the same formula = 0 meV/atom
raw formation energy = 936 meV/atom

a = 4.243 Å, b = 4.243 Å, c = 4.243 Å
α = 90.00°, β = 90.00°, γ = 90.00°
Space group Pm-3m (No. 221)
Asymmetric unit:
Si 0.000 0.000 0.500
Sb 0.500 0.500 0.500
C 0.000 0.000 0.000


Record 10
The following is a DFT calculation (PBE-GGA) of a relaxed structure of SiSbC2.

Calculated values
raw total energy = -4.80 eV per atom
distance to the lowest polymorph of the same formula = 1449 meV/atom
raw formation energy = 2202 meV/atom

a = 5.814 Å, b = 5.814 Å, c = 5.814 Å
α = 90.00°, β = 90.00°, γ = 90.00°
Space group Fm-3m (No. 225)
Asymmetric unit:
Si 0.000 0.000 0.000
Sb 0.000 0.000 0.500
C 0.250 0.250 0.250


Record 11
The following is a DFT calculation (PBE-GGA) of a relaxed structure of SiSbC3.

Calculated values
raw total energy = -4.43 eV per atom
distance to the lowest polymorph of the same formula = 1081 meV/atom
raw formation energy = 3014 meV/atom

a = 4.257 Å, b = 4.257 Å, c = 4.257 Å
α = 90.00°, β = 90.00°, γ = 90.00°
Space group Pm-3m (No. 221)
Asymmetric unit:
Si 0.000 0.000 0.000
Sb 0.500 0.500 0.500
C 0.000 0.500 0.500


Record 12
The following is a DFT calculation (PBE-GGA) of a relaxed structure of Si2SbC.

Calculated values
raw total energy = -5.61 eV per atom
distance to the lowest polymorph of the same formula = 0 meV/atom
raw formation energy = 435 meV/atom

a = 5.648 Å, b = 5.648 Å, c = 8.351 Å
α = 90.00°, β = 90.00°, γ = 90.00°
Space group I-42d (No. 122)
Asymmetric unit:
Si 0.146 0.250 0.125
Sb 0.000 0.000 0.500
C 0.000 0.000 0.000


- Number 12 is which compound?
  Si2SbC